## VPbF3 (PBE+U)

Data for VPbF3 after structural relaxation.

Calculated values
As for the excess energy over the best structure of this formula in the dataset: 0.00 eV/f.u. As for the density of states at the Fermi level: 2.48 states/eV/f.u.

a = 4.280 Å, b = 4.280 Å, c = 4.280 Å
α = 90.00°, β = 90.00°, γ = 90.00°
Fractional positions:
Pb (0.500, 0.500, 0.500)
V (0.000, 0.000, 0.000)
F (0.000, 0.500, 0.000)
F (0.000, 0.000, 0.500)
F (0.500, 0.000, 0.000)